A plane-wave DFT calculation with PBE was carried out for crystalline Sr4ZrIn at its relaxed geometry.

## Properties
- ΔH_f (0 K) (kJ/mol of atoms) = 62
- density of states at the Fermi level (states/eV per cell) = 33.62

Cell: 9.8478 9.8478 9.8478 Å, 90.00 90.00 90.00°
Space group F-43m (No. 216)
Symmetry-distinct sites (fractional):
Sr  0.1246  0.1246  0.1246
Zr  0.2500  0.2500  0.7500
In  0.0000  0.0000  0.5000

A plane-wave DFT calculation with PBE was carried out for crystalline Pu2BiO11 at its relaxed geometry.

## Properties
- energy relative to the elements, uncorrected (eV per atom) = -1.462
- density of states at the Fermi level (states/eV per cell) = 20.29

Cell: 10.7342 10.5325 8.3314 Å, 90.00 90.00 90.00°
Space group Ima2 (No. 46)
Symmetry-distinct sites (fractional):
Pu  0.2500  0.2374  0.0000
Pu  0.2500  0.7462  0.9758
Bi  0.0000  0.0000  0.7333
O  0.1269  0.6281  0.0454
O  0.1270  0.6367  0.4065
O  0.1280  0.1313  0.9166
O  0.1277  0.1566  0.5853
O  0.2500  0.0132  0.3050
O  0.2500  0.1280  0.2556
O  0.2500  0.6862  0.7197

A plane-wave DFT calculation with PBE was carried out for crystalline Sm5Mg4Cu at its relaxed geometry.

## Properties
- ΔH_f (0 K) (kJ/mol of atoms) = -10
- density of states at the Fermi level (states/eV per cell) = 11.37

Cell: 3.7524 3.7524 19.2463 Å, 90.00 90.00 90.00°
Space group P4/mmm (No. 123)
Symmetry-distinct sites (fractional):
Sm  0.0000  0.0000  0.0000
Sm  0.0000  0.0000  0.2066
Sm  0.0000  0.0000  0.4132
Mg  0.5000  0.5000  0.1035
Mg  0.5000  0.5000  0.3078
Cu  0.5000  0.5000  0.5000

A plane-wave DFT calculation with PBE was carried out for crystalline PuCuS2 at its relaxed geometry.

## Properties
- energy relative to the elements, uncorrected (eV per atom) = -1.123
- density of states at the Fermi level (states/eV per cell) = 31.85

Cell: 13.6030 3.9939 6.2409 Å, 90.00 90.00 90.00°
Space group Pnma (No. 62)
Symmetry-distinct sites (fractional):
Pu  0.1330  0.2500  0.0030
Cu  0.0426  0.7500  0.6250
S  0.0380  0.7500  0.2465
S  0.2007  0.7500  0.7535

A plane-wave DFT calculation with PBE was carried out for crystalline Mg3ZnO4 at its relaxed geometry.

## Properties
- energy relative to the elements, uncorrected (eV per atom) = -2.353
- density of states at the Fermi level (states/eV per cell) = 0.00

Cell: 3.0254 3.0254 29.6037 Å, 90.00 90.00 120.00°
Space group R-3m (No. 166, hexagonal axes)
Symmetry-distinct sites (fractional):
Mg  0.0000  0.0000  0.0000
Mg  0.0000  0.0000  0.2504
Zn  0.0000  0.0000  0.5000
O  0.0000  0.0000  0.1234
O  0.0000  0.0000  0.3748

A plane-wave DFT calculation with PBE was carried out for crystalline Ho2ErNi at its relaxed geometry.

## Properties
- ΔH_f (0 K) (kJ/mol of atoms) = -22
- density of states at the Fermi level (states/eV per cell) = 22.24

Cell: 3.6124 11.8612 9.4783 Å, 90.00 90.00 90.00°
Space group Cmcm (No. 63)
Symmetry-distinct sites (fractional):
Ho  0.0000  0.1365  0.0696
Er  0.0000  0.4185  0.2500
Ni  0.0000  0.2625  0.7500

A plane-wave DFT calculation with PBE was carried out for crystalline NbPtBr2 at its relaxed geometry.

## Properties
- energy relative to the elements, uncorrected (eV per atom) = 0.089
- density of states at the Fermi level (states/eV per cell) = 4.12

Cell: 3.2624 3.2624 26.6699 Å, 90.00 90.00 120.00°
Space group R-3m (No. 166, hexagonal axes)
Symmetry-distinct sites (fractional):
Nb  0.0000  0.0000  0.0000
Pt  0.0000  0.0000  0.5000
Br  0.0000  0.0000  0.4049

A plane-wave DFT calculation with PBE was carried out for crystalline CeNdSb2 at its relaxed geometry.

## Properties
- energy relative to the elements, uncorrected (eV per atom) = -1.009
- density of states at the Fermi level (states/eV per cell) = 28.86

Cell: 8.9334 7.7405 7.5243 Å, 90.00 90.00 90.00°
Space group Pbcm (No. 57)
Symmetry-distinct sites (fractional):
Ce  0.1244  0.0828  0.2500
Nd  0.3753  0.5839  0.2500
Sb  0.1230  0.7500  0.0000
Sb  0.3719  0.2500  0.0000